Record 1
CaBeGaCu6 | PBE | relaxed

Cell lengths 7.759, 5.079, 8.262 Å; angles 107.90, 118.00, 90.00 degrees
Fractional coordinates of all 18 atoms:
Ca: 0.751 0.501 0.503
Ca: 0.249 0.499 0.497
Be: 0.500 0.500 0.000
Be: 0.500 0.000 0.000
Ga: 0.500 0.000 0.500
Ga: 0.000 0.000 0.500
Cu: 0.636 0.886 0.273
Cu: 0.004 0.254 0.008
Cu: 0.850 0.094 0.180
Cu: 0.330 0.586 0.180
Cu: 0.330 0.094 0.180
Cu: 0.850 0.586 0.180
Cu: 0.364 0.114 0.727
Cu: 0.996 0.746 0.992
Cu: 0.150 0.906 0.820
Cu: 0.670 0.414 0.820
Cu: 0.670 0.906 0.820
Cu: 0.150 0.414 0.820

=====

Record 2
EuCoGe | PBE | relaxed

Cell lengths 4.213, 4.105, 4.105 Å; angles 120.00, 90.00, 90.00 degrees
Each line ends with the local moment (μB).
Fractional coordinates of all 3 atoms:
Eu: 0.667 0.333 0.667  -6.72
Ge: 0.167 0.000 0.000  0.01
Co: 0.167 0.667 0.333  0.55

=====

Record 3
Li4CdSn2 | PBE | relaxed

Cell lengths 4.818, 5.339, 11.263 Å; angles 90.00, 102.32, 90.00 degrees
Fractional coordinates of all 14 atoms:
Li: 0.655 0.499 0.307
Li: 0.954 0.750 0.904
Li: 0.046 0.250 0.096
Li: 0.655 0.001 0.307
Li: 0.762 0.250 0.523
Li: 0.345 0.999 0.693
Li: 0.345 0.501 0.693
Li: 0.238 0.750 0.477
Cd: 0.111 0.750 0.220
Cd: 0.889 0.250 0.780
Sn: 0.535 0.750 0.066
Sn: 0.465 0.250 0.934
Sn: 0.186 0.250 0.369
Sn: 0.814 0.750 0.631

Results
Energy relative to the lowest polymorph listed for this composition in meV/atom: 0

=====

Record 4
MgIn2Ag | PBE | relaxed

Cell lengths 9.505, 9.505, 9.505 Å; angles 20.26, 20.26, 20.26 degrees
Fractional coordinates of all 4 atoms:
Ag: 0.750 0.750 0.750
In: 0.003 0.003 0.003
In: 0.497 0.497 0.497
Mg: 0.250 0.250 0.250

=====

Calculated total magnetization (μB per cell), listed in the same order as above: 0.00 6.38 0.00 0.00
Calculated energy of formation from the pure elements (eV per atom), listed in the same order as above: -0.0085 -0.3598 -0.3021 -0.0581